VASP calculation (PBE) on a relaxed Sb2SeCl crystal.

CIF file:
```
data_Sb2SeCl
_cell_length_a 4.785
_cell_length_b 4.785
_cell_length_c 4.174
_cell_angle_alpha 90.00
_cell_angle_beta 90.00
_cell_angle_gamma 90.00
_space_group_name_H-M_alt 'P 4/m m m'
_space_group_IT_number 123
_space_group_name_Hall '-P 4 2'
loop_
_atom_site_label
_atom_site_type_symbol
_atom_site_fract_x
_atom_site_fract_y
_atom_site_fract_z
Sb1 Sb 0.000 0.500 0.000
Se1 Se 0.000 0.000 0.500
Cl1 Cl 0.500 0.500 0.500
```

## Properties
Energy above the most stable polymorph in this dataset = 0.350 eV per atom
VASP energy = -3.26 eV/atom
Formation energy without anion corrections = 0.1299 eV per atom